# 1
{
  "formula": "AcLa6SmDy2",
  "functional": "PBE-GGA",
  "state": "relaxed",
  "lattice_angstrom": [[-5.247, 8.367, -1.857], [-7.335, -4.833, 2.406], [4.896, 3.787, 6.681]],
  "species": ["La", "La", "Sm", "La", "La", "Sm", "La", "Dy", "La", "La", "La", "La", "La", "Dy", "La", "Dy", "Ac", "La", "Ac", "Dy"],
  "fractional_positions": [[0.878, 0.297, 0.507], [0.122, 0.703, 0.493], [0.750, 0.591, 0.409], [0.378, 0.507, 0.297], [0.622, 0.493, 0.703], [0.250, 0.409, 0.591], [0.186, 0.554, 0.008], [0.454, 0.800, 0.699], [0.314, 0.992, 0.446], [0.686, 0.008, 0.554], [0.814, 0.446, 0.992], [0.051, 0.111, 0.750], [0.949, 0.889, 0.250], [0.546, 0.200, 0.301], [0.449, 0.250, 0.889], [0.954, 0.699, 0.800], [0.750, 0.025, 0.975], [0.551, 0.750, 0.111], [0.250, 0.975, 0.025], [0.046, 0.301, 0.200]]
}

# 2
{
  "formula": "AcLaSmDy2",
  "functional": "PBE-GGA",
  "state": "relaxed",
  "lattice_angstrom": [[6.611, 0.000, 0.000], [0.000, 6.512, 0.000], [0.000, -3.256, 8.807]],
  "species": ["La", "La", "Sm", "Dy", "Dy", "Ac", "Sm", "Dy", "Ac", "Dy"],
  "fractional_positions": [[0.750, 0.154, 0.307], [0.250, 0.846, 0.693], [0.250, 0.280, 0.560], [0.500, 0.253, 0.000], [0.000, 0.747, 0.000], [0.250, 0.657, 0.313], [0.750, 0.720, 0.440], [0.000, 0.253, 0.000], [0.750, 0.343, 0.687], [0.500, 0.747, 0.000]]
}

# 3
{
  "formula": "Ac5La2SmDy",
  "functional": "PBE-GGA",
  "state": "relaxed",
  "lattice_angstrom": [[8.534, 0.000, 0.000], [0.000, 8.534, 0.000], [-4.267, -4.267, 10.229]],
  "species": ["Dy", "Ac", "La", "Ac", "Ac", "Ac", "Ac", "Ac", "Sm", "La", "Sm", "La", "Ac", "Ac", "Ac", "Ac", "Dy", "La"],
  "fractional_positions": [[0.750, 0.250, 0.500], [0.500, 0.500, 0.000], [0.879, 0.621, 0.000], [0.870, 0.911, 0.280], [0.911, 0.411, 0.280], [0.370, 0.870, 0.280], [0.630, 0.130, 0.720], [0.000, 0.000, 0.000], [0.750, 0.750, 0.500], [0.621, 0.121, 0.000], [0.250, 0.250, 0.500], [0.121, 0.379, 0.000], [0.411, 0.370, 0.280], [0.589, 0.630, 0.720], [0.130, 0.089, 0.720], [0.089, 0.589, 0.720], [0.250, 0.750, 0.500], [0.379, 0.879, 0.000]]
}

# 4
{
  "formula": "Ac2La2SmDy",
  "functional": "PBE-GGA",
  "state": "relaxed",
  "lattice_angstrom": [[-5.182, 0.131, -5.114], [4.402, -2.406, -4.522], [-3.040, -8.399, 2.865]],
  "species": ["Ac", "Ac", "La", "Ac", "Ac", "La", "Sm", "La", "Dy", "La", "Dy", "Sm"],
  "fractional_positions": [[0.500, 0.817, 0.824], [0.000, 0.817, 0.824], [0.250, 0.588, 0.496], [0.500, 0.183, 0.176], [0.000, 0.183, 0.176], [0.250, 0.092, 0.519], [0.750, 0.308, 0.846], [0.750, 0.412, 0.504], [0.750, 0.660, 0.145], [0.750, 0.908, 0.481], [0.250, 0.340, 0.855], [0.250, 0.692, 0.154]]
}

# 5
{
  "formula": "Ac2LaSmDy",
  "functional": "PBE-GGA",
  "state": "relaxed",
  "lattice_angstrom": [[6.836, 0.000, 0.000], [0.000, 8.756, 1.646], [0.000, -1.204, 6.408]],
  "species": ["Ac", "Sm", "Sm", "Dy", "Ac", "La", "Ac", "Dy", "La", "Ac"],
  "fractional_positions": [[0.713, 0.295, 0.750], [0.816, 0.500, 0.250], [0.184, 0.500, 0.750], [0.000, 0.000, 0.500], [0.287, 0.705, 0.250], [0.419, 0.000, 0.750], [0.287, 0.295, 0.250], [0.000, 0.000, 0.000], [0.581, 0.000, 0.250], [0.713, 0.705, 0.750]]
}

# 6
{
  "formula": "SrAcLaDy",
  "functional": "PBE-GGA",
  "state": "relaxed",
  "lattice_angstrom": [[6.132, 0.000, 0.000], [3.066, 5.310, 0.000], [3.066, 1.770, 5.006]],
  "species": ["Ac", "Dy", "Sr", "La"],
  "fractional_positions": [[0.000, 0.000, 0.000], [0.750, 0.750, 0.750], [0.250, 0.250, 0.250], [0.500, 0.500, 0.500]]
}

# 7
{
  "formula": "AcLa4TbDy2",
  "functional": "PBE-GGA",
  "state": "relaxed",
  "lattice_angstrom": [[5.257, 0.000, 0.000], [2.629, 5.791, -0.571], [2.629, -0.104, 9.451]],
  "species": ["Ac", "Dy", "La", "Dy", "La", "La", "La", "Tb"],
  "fractional_positions": [[0.500, 0.500, 0.500], [0.256, 0.243, 0.244], [0.877, 0.876, 0.370], [0.744, 0.757, 0.756], [0.626, 0.626, 0.122], [0.123, 0.124, 0.630], [0.374, 0.374, 0.878], [0.000, 0.000, 0.000]]
}

# 8
{
  "formula": "AcLa6TbDy2",
  "functional": "PBE-GGA",
  "state": "relaxed",
  "lattice_angstrom": [[-3.235, 5.211, 7.887], [-0.667, -8.029, 4.253], [8.169, 4.033, -0.092]],
  "species": ["Dy", "La", "Ac", "La", "La", "La", "La", "La", "Tb", "Tb", "Ac", "La", "La", "La", "La", "Dy", "La", "Dy", "Dy", "La"],
  "fractional_positions": [[0.954, 0.696, 0.798], [0.949, 0.886, 0.248], [0.250, 0.975, 0.025], [0.621, 0.492, 0.704], [0.687, 0.005, 0.553], [0.051, 0.114, 0.752], [0.813, 0.447, 0.995], [0.379, 0.508, 0.296], [0.750, 0.589, 0.411], [0.250, 0.411, 0.589], [0.750, 0.025, 0.975], [0.313, 0.995, 0.447], [0.187, 0.553, 0.005], [0.121, 0.704, 0.492], [0.449, 0.248, 0.886], [0.046, 0.304, 0.202], [0.879, 0.296, 0.508], [0.454, 0.798, 0.696], [0.546, 0.202, 0.304], [0.551, 0.752, 0.114]]
}

# 9
{
  "formula": "AcLa2TbDy5",
  "functional": "PBE-GGA",
  "state": "relaxed",
  "lattice_angstrom": [[8.817, 0.000, 0.000], [0.000, 8.817, 0.000], [-4.408, -4.408, 7.955]],
  "species": ["Dy", "Dy", "Tb", "Tb", "Dy", "Ac", "Dy", "Dy", "Ac", "La", "Dy", "La", "La", "Dy", "Dy", "La", "Dy", "Dy"],
  "fractional_positions": [[0.425, 0.348, 0.273], [0.075, 0.575, 0.727], [0.750, 0.250, 0.500], [0.250, 0.750, 0.500], [0.575, 0.652, 0.727], [0.250, 0.250, 0.500], [0.152, 0.075, 0.727], [0.500, 0.500, 0.000], [0.750, 0.750, 0.500], [0.617, 0.117, 0.000], [0.000, 0.000, 0.000], [0.383, 0.883, 0.000], [0.117, 0.383, 0.000], [0.848, 0.925, 0.273], [0.925, 0.425, 0.273], [0.883, 0.617, 0.000], [0.348, 0.848, 0.273], [0.652, 0.152, 0.727]]
}

# 10
{
  "formula": "AcLaTb4Dy2",
  "functional": "PBE-GGA",
  "state": "relaxed",
  "lattice_angstrom": [[-6.721, 8.433, -3.436], [-4.785, -0.039, 7.221], [11.887, -4.029, 2.180]],
  "species": ["Ac", "Dy", "Tb", "Tb", "Dy", "La", "Tb", "Tb", "Dy", "Tb", "Ac", "La", "Dy", "Tb", "Tb", "Tb"],
  "fractional_positions": [[0.064, 0.562, 0.038], [0.432, 0.434, 0.955], [0.693, 0.691, 0.969], [0.808, 0.306, 0.535], [0.568, 0.061, 0.545], [0.939, 0.946, 0.962], [0.795, 0.310, 0.029], [0.694, 0.690, 0.463], [0.937, 0.943, 0.458], [0.192, 0.182, 0.956], [0.062, 0.562, 0.539], [0.429, 0.433, 0.455], [0.562, 0.062, 0.041], [0.315, 0.820, 0.546], [0.187, 0.181, 0.459], [0.325, 0.816, 0.050]]
}

# 11
{
  "formula": "AcLa2Tb5Dy",
  "functional": "PBE-GGA",
  "state": "relaxed",
  "lattice_angstrom": [[8.833, 0.000, 0.000], [0.000, 8.833, 0.000], [-4.417, -4.417, 7.982]],
  "species": ["Tb", "Dy", "Tb", "La", "Tb", "Tb", "Tb", "La", "Ac", "La", "Tb", "Tb", "Tb", "Tb", "Dy", "Tb", "Ac", "La"],
  "fractional_positions": [[0.848, 0.925, 0.273], [0.750, 0.250, 0.500], [0.500, 0.500, 0.000], [0.617, 0.117, 0.000], [0.152, 0.075, 0.727], [0.652, 0.152, 0.727], [0.575, 0.652, 0.727], [0.383, 0.883, 0.000], [0.750, 0.750, 0.500], [0.117, 0.383, 0.000], [0.075, 0.575, 0.727], [0.000, 0.000, 0.000], [0.925, 0.425, 0.273], [0.348, 0.848, 0.273], [0.250, 0.750, 0.500], [0.425, 0.348, 0.273], [0.250, 0.250, 0.500], [0.883, 0.617, 0.000]]
}

# 12
{
  "formula": "AcLa4Tb2Dy",
  "functional": "PBE-GGA",
  "state": "relaxed",
  "lattice_angstrom": [[-5.188, -0.807, 0.285], [-1.947, -2.690, 5.457], [-3.826, 8.529, 3.008]],
  "species": ["La", "Tb", "Tb", "Ac", "La", "Dy", "La", "La"],
  "fractional_positions": [[0.123, 0.124, 0.631], [0.257, 0.243, 0.244], [0.743, 0.757, 0.756], [0.500, 0.500, 0.500], [0.877, 0.876, 0.369], [0.000, 0.000, 0.000], [0.374, 0.375, 0.878], [0.626, 0.625, 0.122]]
}

# 13
{
  "formula": "AcLa5Tb2Dy",
  "functional": "PBE-GGA",
  "state": "relaxed",
  "lattice_angstrom": [[10.451, 0.000, 0.000], [0.000, 8.038, 0.000], [0.000, 0.000, 8.038]],
  "species": ["La", "Tb", "Ac", "Dy", "La", "La", "La", "Tb", "La", "Ac", "La", "La", "La", "La", "Dy", "La", "Tb", "Tb"],
  "fractional_positions": [[0.500, 0.500, 0.500], [0.500, 0.130, 0.370], [0.000, 0.500, 0.500], [0.000, 0.500, 0.000], [0.752, 0.805, 0.305], [0.752, 0.195, 0.695], [0.248, 0.195, 0.695], [0.500, 0.870, 0.630], [0.752, 0.695, 0.805], [0.000, 0.000, 0.000], [0.752, 0.305, 0.195], [0.248, 0.695, 0.805], [0.248, 0.305, 0.195], [0.248, 0.805, 0.305], [0.000, 0.000, 0.500], [0.500, 0.000, 0.000], [0.500, 0.370, 0.870], [0.500, 0.630, 0.130]]
}

# 14
{
  "formula": "Ac2LaTbDy",
  "functional": "PBE-GGA",
  "state": "relaxed",
  "lattice_angstrom": [[6.719, 0.000, 0.000], [0.000, 8.873, 1.671], [0.000, -1.203, 6.387]],
  "species": ["Tb", "Dy", "Ac", "Tb", "Ac", "Ac", "Dy", "La", "Ac", "La"],
  "fractional_positions": [[0.187, 0.500, 0.750], [0.000, 0.000, 0.000], [0.715, 0.703, 0.750], [0.813, 0.500, 0.250], [0.285, 0.703, 0.250], [0.285, 0.297, 0.250], [0.000, 0.000, 0.500], [0.576, 0.000, 0.250], [0.715, 0.297, 0.750], [0.424, 0.000, 0.750]]
}

# 15
{
  "formula": "AcLa6Tb2Dy",
  "functional": "PBE-GGA",
  "state": "relaxed",
  "lattice_angstrom": [[9.526, -2.110, -2.189], [0.836, 8.841, -2.053], [0.836, -2.379, 8.759]],
  "species": ["La", "Dy", "Ac", "La", "Tb", "La", "La", "Dy", "La", "La", "La", "La", "Ac", "Tb", "La", "La", "La", "Tb", "La", "Tb"],
  "fractional_positions": [[0.379, 0.507, 0.296], [0.750, 0.589, 0.411], [0.750, 0.024, 0.976], [0.188, 0.554, 0.005], [0.045, 0.304, 0.202], [0.621, 0.493, 0.704], [0.121, 0.704, 0.493], [0.250, 0.411, 0.589], [0.550, 0.751, 0.114], [0.688, 0.005, 0.554], [0.812, 0.446, 0.995], [0.879, 0.296, 0.507], [0.250, 0.976, 0.024], [0.955, 0.696, 0.798], [0.050, 0.114, 0.751], [0.312, 0.995, 0.446], [0.450, 0.249, 0.886], [0.455, 0.798, 0.696], [0.950, 0.886, 0.249], [0.545, 0.202, 0.304]]
}

# 16
{
  "formula": "AcLa5TbDy2",
  "functional": "PBE-GGA",
  "state": "relaxed",
  "lattice_angstrom": [[-8.301, -1.102, -4.383], [0.002, -9.167, 2.300], [0.581, 6.729, 7.400]],
  "species": ["La", "La", "Tb", "Dy", "La", "Dy", "La", "Ac", "Tb", "La", "Dy", "Ac", "La", "Dy", "La", "La", "La", "La"],
  "fractional_positions": [[0.931, 0.431, 0.258], [0.569, 0.673, 0.742], [0.750, 0.250, 0.500], [0.889, 0.611, 0.000], [0.069, 0.569, 0.742], [0.111, 0.389, 0.000], [0.500, 0.500, 0.000], [0.250, 0.250, 0.500], [0.250, 0.750, 0.500], [0.327, 0.827, 0.258], [0.389, 0.889, 0.000], [0.750, 0.750, 0.500], [0.431, 0.327, 0.258], [0.611, 0.111, 0.000], [0.000, 0.000, 0.000], [0.827, 0.931, 0.258], [0.673, 0.173, 0.742], [0.173, 0.069, 0.742]]
}

# 17
{
  "formula": "AcLaTbDy2",
  "functional": "PBE-GGA",
  "state": "relaxed",
  "lattice_angstrom": [[-2.104, 3.885, -3.911], [-3.459, -4.660, -2.767], [-8.846, -0.413, 4.349]],
  "species": ["Tb", "Dy", "Tb", "Dy", "Ac", "Dy", "Ac", "Dy", "La", "La"],
  "fractional_positions": [[0.750, 0.163, 0.003], [0.250, 0.223, 0.204], [0.250, 0.837, 0.997], [0.750, 0.968, 0.402], [0.750, 0.570, 0.196], [0.750, 0.777, 0.796], [0.250, 0.430, 0.804], [0.250, 0.032, 0.598], [0.750, 0.361, 0.598], [0.250, 0.639, 0.402]]
}

# 18
{
  "formula": "AcLaTb3Dy",
  "functional": "PBE-GGA",
  "state": "relaxed",
  "lattice_angstrom": [[5.761, 0.000, 0.000], [-2.880, 10.131, 1.739], [0.000, -1.198, 7.107]],
  "species": ["Ac", "Ac", "Tb", "Tb", "Tb", "Dy", "Tb", "Tb", "Tb", "Dy", "La", "La"],
  "fractional_positions": [[0.355, 0.710, 0.971], [0.645, 0.290, 0.029], [0.781, 0.563, 0.750], [0.219, 0.437, 0.250], [0.170, 0.340, 0.730], [0.651, 0.303, 0.477], [0.830, 0.660, 0.270], [0.520, 0.041, 0.730], [0.480, 0.959, 0.270], [0.349, 0.697, 0.523], [0.945, 0.891, 0.717], [0.055, 0.109, 0.283]]
}

# 19
{
  "formula": "AcLaTbDy3",
  "functional": "PBE-GGA",
  "state": "relaxed",
  "lattice_angstrom": [[5.586, 0.000, 0.000], [-2.793, 11.040, 2.497], [0.000, -0.725, 6.886]],
  "species": ["La", "Ac", "Dy", "Dy", "Dy", "Dy", "Dy", "Dy", "Tb", "La", "Ac", "Tb"],
  "fractional_positions": [[0.068, 0.136, 0.327], [0.367, 0.734, 0.975], [0.823, 0.646, 0.281], [0.525, 0.049, 0.723], [0.777, 0.555, 0.801], [0.223, 0.445, 0.199], [0.475, 0.951, 0.277], [0.177, 0.354, 0.719], [0.334, 0.667, 0.517], [0.932, 0.864, 0.673], [0.633, 0.266, 0.025], [0.666, 0.333, 0.483]]
}

Let's list energy of formation from the pure elements in order: 0.11; 0.36; 0.26; 0.14; 0.25; 0.17; 0.03; 0.11; 0.25; 0.04; 0.25; 0.03; 0.25; 0.26; 0.11; 0.26; 0.05; 0.21; 0.20 eV/atom.